# 1
Material: PmErRhAu
Method: DFT, PBE
State: relaxed

Polymorph energy (0 for the lowest one): 0 meV/atom
Formation enthalpy at 0 K: -0.821 eV per atom
D(E_F): 2.74 states/eV per cell
Magnetization: 0.000 μB per formula unit

Cell lengths 4.6212, 5.5923, 5.5923 Å; angles 39.84, 90.00, 90.00 degrees
Sites, in units of the cell vectors:
1 Pm 0.0000 0.0000 0.0000
2 Er 0.5000 0.7192 0.7192
3 Rh 0.0000 0.2633 0.2633
4 Au 0.5000 0.4361 0.4361

***

# 2
Material: PmErRuAu
Method: DFT, PBE
State: relaxed

Formation enthalpy at 0 K: -0.522 eV per atom
D(E_F): 2.65 states/eV per cell
Magnetization: 0.000 μB per formula unit

Cell lengths 4.9969, 4.9969, 4.9969 Å; angles 60.00, 60.00, 60.00 degrees
Sites, in units of the cell vectors:
1 Pm 0.0000 0.0000 0.0000
2 Er 0.5000 0.5000 0.5000
3 Ru 0.2500 0.2500 0.2500
4 Au 0.7500 0.7500 0.7500

***

# 3
Material: PmErSbAu
Method: DFT, PBE
State: relaxed

D(E_F): 4.23 states/eV per cell
Magnetization: 0.900 μB per formula unit
Formation energy (no corrections): -0.761 eV/atom

Cell lengths 5.2606, 5.2606, 5.2606 Å; angles 60.00, 60.00, 60.00 degrees
Sites, in units of the cell vectors:
1 Pm 0.0000 0.0000 0.0000
2 Er 0.5000 0.5000 0.5000
3 Sb 0.2500 0.2500 0.2500
4 Au 0.7500 0.7500 0.7500

***

# 4
Material: PmErSi2Au2
Method: DFT, PBE
State: relaxed

D(E_F): 2.72 states/eV per cell
Magnetization: 0.000 μB per formula unit
Formation energy (no corrections): -0.810 eV/atom

Cell lengths 4.3042, 4.3042, 7.9301 Å; angles 90.00, 90.00, 120.00 degrees
Sites, in units of the cell vectors:
1 Pm 0.0000 0.0000 0.0000
2 Er 0.0000 0.0000 0.5000
3 Si 0.3333 0.6667 0.7497
4 Si 0.6667 0.3333 0.2503
5 Au 0.3333 0.6667 0.2684
6 Au 0.6667 0.3333 0.7316

***

- What is the formula in the second record?
  PmErRuAu

***

- magnetization of number 3 (PmErSbAu)?
  0.900 μB per formula unit